1.
Entry from Alexandria: a relaxed structure of Li3YBr (PBE-GGA).

It has space group Pm-3m (No. 221), with a = 5.012 Å, b = 5.012 Å, c = 5.012 Å, α = 90.00°, β = 90.00° and γ = 90.00°. The distinct sites, in fractional coordinates, are Li at (0.000, 0.000, 0.500), Y at (0.500, 0.500, 0.500) and Br at (0.000, 0.000, 0.000).

The distance to the lowest polymorph of the same formula is 0.0 meV per atom. The uncorrected formation energy comes out at -0.11 eV/atom.


2.
Entry from Alexandria: a relaxed structure of K2SeF7 (PBE-GGA).

It has space group C2/c (No. 15), with a = 13.670 Å, b = 6.562 Å, c = 9.670 Å, α = 90.00°, β = 130.88° and γ = 90.00°. The distinct sites, in fractional coordinates, are K at (0.151, 0.146, 0.238), Se at (0.000, 0.311, 0.750), F at (0.000, 0.398, 0.250), F at (0.076, 0.048, 0.912), F at (0.110, 0.313, 0.699) and F at (0.144, 0.392, 0.998).

The uncorrected formation energy comes out at -2.03 eV/atom.


3.
Entry from Alexandria: a relaxed structure of AgOsW (PBE-GGA).

It has space group Imm2 (No. 44), with a = 2.806 Å, b = 3.968 Å, c = 8.482 Å, α = 90.00°, β = 90.00° and γ = 90.00°. The distinct sites, in fractional coordinates, are Ag at (0.000, 0.000, 0.000), Os at (0.000, 0.000, 0.327) and W at (0.000, 0.000, 0.676).

For the energy of formation, the calculation gives 47.0 kJ/mol of atoms. The distance to the lowest polymorph of the same formula is 121.3 meV per atom.


4.
Entry from Alexandria: a relaxed structure of AlGaGe (PBE-GGA).

It has space group Pnma (No. 62), with a = 8.287 Å, b = 4.183 Å, c = 6.984 Å, α = 90.00°, β = 90.00° and γ = 90.00°. The distinct sites, in fractional coordinates, are Al at (0.136, 0.250, 0.077), Ga at (0.059, 0.250, 0.613) and Ge at (0.178, 0.750, 0.866).

For the energy of formation, the calculation gives 8.4 kJ/mol of atoms. The distance to the lowest polymorph of the same formula is 9.5 meV per atom.


5.
Entry from Alexandria: a relaxed structure of LiSm6Se5 (PBE-GGA).

It has space group P6_3/mcm (No. 193), with a = 6.9994 Å, b = 6.9994 Å, c = 14.6325 Å, α = 90.00°, β = 90.00° and γ = 120.00°. The distinct sites, in fractional coordinates, are Li at (0.0000, 0.0000, 0.2500), Sm at (0.0000, 0.3322, 0.1153), Se at (0.0000, 0.3428, 0.7500) and Se at (0.3333, 0.6667, 0.0000).

The uncorrected formation energy comes out at -1.44 eV/atom.


6.
Entry from Alexandria: a relaxed structure of HfAsPdSe2 (PBE-GGA).

It has space group P4/mmm (No. 123), with a = 4.862 Å, b = 4.862 Å, c = 4.801 Å, α = 90.00°, β = 90.00° and γ = 90.00°. The distinct sites, in fractional coordinates, are Hf at (0.000, 0.000, 0.000), As at (0.500, 0.500, 0.000), Pd at (0.500, 0.500, 0.500) and Se at (0.000, 0.500, 0.500).

The distance to the lowest polymorph of the same formula is 183.4 meV per atom. The uncorrected formation energy comes out at 0.32 eV/atom.


7.
Entry from Alexandria: a relaxed structure of NaNd2SbO6 (PBE-GGA).

It has space group R3 (No. 146, hexagonal axes), with a = 5.8340 Å, b = 5.8340 Å, c = 14.7235 Å, α = 90.00°, β = 90.00° and γ = 120.00°. The distinct sites, in fractional coordinates, are Na at (0.0000, 0.0000, 0.0000), Nd at (0.0000, 0.0000, 0.2696), Nd at (0.0000, 0.0000, 0.7717), Sb at (0.0000, 0.0000, 0.4886), O at (0.0142, 0.3985, 0.2246) and O at (0.0757, 0.6889, 0.0676).

The uncorrected formation energy comes out at -2.49 eV/atom.


8.
Entry from Alexandria: a relaxed structure of AcCdPt (PBE-GGA).

It has space group P2_1/m (No. 11), with a = 7.928 Å, b = 4.311 Å, c = 13.560 Å, α = 90.00°, β = 90.03° and γ = 90.00°. The distinct sites, in fractional coordinates, are Ac at (0.050, 0.250, 0.125), Ac at (0.166, 0.250, 0.418), Ac at (0.443, 0.750, 0.787), Cd at (0.121, 0.250, 0.701), Cd at (0.371, 0.750, 0.040), Cd at (0.495, 0.250, 0.582), Pt at (0.241, 0.250, 0.915), Pt at (0.245, 0.750, 0.582) and Pt at (0.259, 0.750, 0.251).

For the energy of formation, the calculation gives -81.6 kJ/mol of atoms. The distance to the lowest polymorph of the same formula is 2.8 meV per atom.


| no. | total energy (eV per cell) |
| --- | --- |
| 1 | -14.45 |
| 2 | -156.37 |
| 3 | -51.15 |
| 4 | -44.50 |
| 5 | -129.86 |
| 6 | -25.19 |
| 7 | -208.95 |
| 8 | -81.61 |